# LiTl2

A geometry-optimized LiTl2 structure (PBE-GGA, the Alexandria database).

Results
Its crystal system is trigonal. For the excess energy over the best structure of this formula in the dataset, the calculation gives 41 meV per atom. The calculation puts the energy relative to the elements at -94 meV per atom.

```
data_LiTl2
_chemical_formula_sum 'Li1 Tl2'
_cell_length_a 3.5074
_cell_length_b 3.5074
_cell_length_c 7.0555
_cell_angle_alpha 90.00
_cell_angle_beta 90.00
_cell_angle_gamma 120.00
_space_group_name_H-M_alt 'P -3 m 1'
_space_group_IT_number 164
_space_group_name_Hall '-P 3 2"'
loop_
_atom_site_label
_atom_site_fract_x
_atom_site_fract_y
_atom_site_fract_z
_atom_site_occupancy
Li1 0.0000 0.0000 0.0000 1
Tl1 0.3333 0.6667 0.3112 1
```